# 1
This record from Alexandria via LeMat-Bulk describes a geometry-optimized GaCuSi structure. The functional is GGA-PBE.

Values from the calculation:
calculated total energy	-4.1126	eV/atom
raw formation energy	69.4	meV/atom
magnetic moment	0.000	μB/f.u.

Unit cell a=5.8120 b=2.6772 c=6.3181 alpha=90.00 beta=109.79 gamma=90.00
Last column: nearest neighbours and their distance in Å.
Fractional coordinates of all 6 atoms:
Ga 0.0000 0.0000 0.0000  2 Cu 2.53, 2 Si 2.56-2.71, 3 Ga 2.68-2.78
Ga 0.4114 0.0000 0.8708  4 Cu 2.64-2.65, 3 Ga 2.68-2.78, 1 Si 2.79
Cu 0.2005 0.5000 0.4933  4 Si 2.47, 2 Ga 2.65, 3 Cu 2.68
Cu 0.7500 0.5000 0.1848  4 Ga 2.53-2.64, 4 Si 2.58-2.66, 3 Cu 2.68
Si 0.4491 0.0000 0.3223  4 Cu 2.47-2.58, 3 Si 2.47-2.68, 1 Ga 2.71
Si 0.8816 0.0000 0.5713  4 Cu 2.47-2.66, 3 Si 2.47-2.68, 1 Ga 2.56



# 2
This record from Alexandria via LeMat-Bulk describes a geometry-optimized Hg5Pb structure. The functional is GGA-PBE.

Values from the calculation:
calculated total energy	-0.8478	eV/atom
energy above the lowest structure with this stoichiometry	0	meV per atom
magnetic moment	0.000	μB/f.u.
ΔH_f (0 K)	22	meV per atom

Unit cell a=4.1239 b=11.1543 c=7.1265 alpha=90.00 beta=90.22 gamma=90.00
Last column: nearest neighbours and their distance in Å.
Fractional coordinates of all 12 atoms:
Hg 0.2494 0.0728 0.3607  7 Hg 3.19-3.46, 2 Pb 3.28-3.29
Hg 0.2494 0.4272 0.3607  7 Hg 3.19-3.46, 2 Pb 3.28-3.29
Hg 0.2489 0.7500 0.8855  8 Hg 3.24-3.36, 1 Pb 3.38
Hg 0.2512 0.0862 0.8750  7 Hg 3.19-3.46, 2 Pb 3.43
Hg 0.2512 0.4138 0.8750  7 Hg 3.19-3.46, 2 Pb 3.43
Hg 0.7488 0.5862 0.1250  7 Hg 3.19-3.46, 2 Pb 3.43
Hg 0.7488 0.9138 0.1250  7 Hg 3.19-3.46, 2 Pb 3.43
Hg 0.7511 0.2500 0.1145  8 Hg 3.24-3.36, 1 Pb 3.38
Hg 0.7506 0.5728 0.6393  7 Hg 3.19-3.46, 2 Pb 3.28-3.29
Hg 0.7506 0.9272 0.6393  7 Hg 3.19-3.46, 2 Pb 3.28-3.29
Pb 0.2507 0.7500 0.4107  11 Hg 3.28-3.62
Pb 0.7493 0.2500 0.5893  11 Hg 3.28-3.62



# 3
This record from Alexandria via LeMat-Bulk describes a geometry-optimized LaEuAlHg structure. The functional is GGA-PBE.

Values from the calculation:
calculated total energy	-5.1982	eV/atom
magnetic moment	7.371	μB/f.u.
ΔH_f (0 K)	-387	meV per atom

Unit cell a=7.7326 b=7.7326 c=7.7326 alpha=90.00 beta=90.00 gamma=90.00
Last column: nearest neighbours and their distance in Å.
Fractional coordinates of all 16 atoms:
La 0.0000 0.0000 0.0000  4 Hg 3.35, 4 Al 3.35
La 0.0000 0.5000 0.5000  4 Hg 3.35, 4 Al 3.35
La 0.5000 0.0000 0.5000  4 Hg 3.35, 4 Al 3.35
La 0.5000 0.5000 0.0000  4 Hg 3.35, 4 Al 3.35
Eu 0.0000 0.0000 0.5000  4 Hg 3.35, 4 Al 3.35
Eu 0.0000 0.5000 0.0000  4 Hg 3.35, 4 Al 3.35
Eu 0.5000 0.0000 0.0000  4 Hg 3.35, 4 Al 3.35
Eu 0.5000 0.5000 0.5000  4 Hg 3.35, 4 Al 3.35
Al 0.2500 0.2500 0.2500  4 La 3.35, 4 Eu 3.35
Al 0.2500 0.7500 0.7500  4 La 3.35, 4 Eu 3.35
Al 0.7500 0.2500 0.7500  4 La 3.35, 4 Eu 3.35
Al 0.7500 0.7500 0.2500  4 La 3.35, 4 Eu 3.35
Hg 0.2500 0.2500 0.7500  4 La 3.35, 4 Eu 3.35
Hg 0.2500 0.7500 0.2500  4 La 3.35, 4 Eu 3.35
Hg 0.7500 0.2500 0.2500  4 La 3.35, 4 Eu 3.35
Hg 0.7500 0.7500 0.7500  4 La 3.35, 4 Eu 3.35



# 4
This record from Alexandria via LeMat-Bulk describes a geometry-optimized LaZr2Cr structure. The functional is GGA-PBE.

Values from the calculation:
calculated total energy	-7.4517	eV/atom
energy above the lowest structure with this stoichiometry	260	meV per atom
magnetic moment	0.000	μB/f.u.
ΔH_f (0 K)	460	meV per atom

Unit cell a=3.3297 b=3.3297 c=27.9760 alpha=90.00 beta=90.00 gamma=120.00
Last column: nearest neighbours and their distance in Å.
Fractional coordinates of all 12 atoms:
La 0.0000 0.0000 0.0000  3 Cr 2.81
La 0.3333 0.6667 0.6667  3 Cr 2.81
La 0.6667 0.3333 0.3333  3 Cr 2.81
Zr 0.0000 0.0000 0.2311  9 Zr 3.16-3.33, 3 La 3.45
Zr 0.0000 0.0000 0.4747  3 Cr 2.70
Zr 0.3333 0.6667 0.1414  3 Cr 2.70
Zr 0.3333 0.6667 0.8977  9 Zr 3.16-3.33, 3 La 3.45
Zr 0.6667 0.3333 0.5644  9 Zr 3.16-3.33, 3 La 3.45
Zr 0.6667 0.3333 0.8080  3 Cr 2.70
Cr 0.0000 0.0000 0.7401  3 Zr 2.70, 3 La 2.81
Cr 0.3333 0.6667 0.4068  3 Zr 2.70, 3 La 2.81
Cr 0.6667 0.3333 0.0734  3 Zr 2.70, 3 La 2.81



# 5
This record from Alexandria via LeMat-Bulk describes a geometry-optimized Pr2NdF structure. The functional is GGA-PBE.

Values from the calculation:
calculated total energy	-4.9650	eV/atom
raw formation energy	-915.4	meV/atom
magnetic moment	0.002	μB/f.u.

Unit cell a=3.5064 b=3.5064 c=31.8237 alpha=90.00 beta=90.00 gamma=120.00
Last column: nearest neighbours and their distance in Å.
Fractional coordinates of all 12 atoms:
Pr 0.0000 0.0000 0.1090  3 F 2.73
Pr 0.0000 0.0000 0.8910  3 F 2.73
Pr 0.3333 0.6667 0.5577  3 F 2.73
Pr 0.3333 0.6667 0.7757  3 F 2.73
Pr 0.6667 0.3333 0.2243  3 F 2.73
Pr 0.6667 0.3333 0.4423  3 F 2.73
Nd 0.0000 0.0000 0.0000  2 Pr 3.47, 6 Nd 3.51
Nd 0.3333 0.6667 0.6667  2 Pr 3.47, 6 Nd 3.51
Nd 0.6667 0.3333 0.3333  2 Pr 3.47, 6 Nd 3.51
F 0.0000 0.0000 0.5000  6 Pr 2.73
F 0.3333 0.6667 0.1667  6 Pr 2.73
F 0.6667 0.3333 0.8333  6 Pr 2.73



# 6
This record from Alexandria via LeMat-Bulk describes a geometry-optimized Ho2PaCu structure. The functional is GGA-PBE.

Values from the calculation:
calculated total energy	-5.3767	eV/atom
energy above the lowest structure with this stoichiometry	311	meV per atom
magnetic moment	0.000	μB/f.u.
ΔH_f (0 K)	310	meV per atom

Unit cell a=3.2353 b=3.2353 c=32.7086 alpha=90.00 beta=90.00 gamma=120.00
Last column: nearest neighbours and their distance in Å.
Fractional coordinates of all 12 atoms:
Ho 0.0000 0.0000 0.0986  3 Cu 2.91, 1 Pa 3.23, 6 Ho 3.24
Ho 0.0000 0.0000 0.9014  3 Cu 2.91, 1 Pa 3.23, 6 Ho 3.24
Ho 0.3333 0.6667 0.5680  3 Cu 2.91, 1 Pa 3.23, 6 Ho 3.24
Ho 0.3333 0.6667 0.7653  3 Cu 2.91, 1 Pa 3.23, 6 Ho 3.24
Ho 0.6667 0.3333 0.2347  3 Cu 2.91, 1 Pa 3.23, 6 Ho 3.24
Ho 0.6667 0.3333 0.4320  3 Cu 2.91, 1 Pa 3.23, 6 Ho 3.24
Pa 0.0000 0.0000 0.0000  2 Ho 3.23, 6 Pa 3.24
Pa 0.3333 0.6667 0.6667  2 Ho 3.23, 6 Pa 3.24
Pa 0.6667 0.3333 0.3333  2 Ho 3.23, 6 Pa 3.24
Cu 0.0000 0.0000 0.5000  6 Ho 2.91, 6 Cu 3.24
Cu 0.3333 0.6667 0.1667  6 Ho 2.91, 6 Cu 3.24
Cu 0.6667 0.3333 0.8333  6 Ho 2.91, 6 Cu 3.24